1.
Here is a geometry-optimized InSiPOs2 structure from Alexandria. Energies are from GGA-PBE.

The total magnetization is 0.00 μB per cell. The uncorrected energy comes out at -30.27 eV for the cell shown.

The structure belongs to space group P4/mmm (No. 123); the cell edges are 4.3872, 4.3872 and 5.0830 Å and the angles 90.00°, 90.00° and 90.00°. The inequivalent atoms are In at (0.0000, 0.0000, 0.0000), Si at (0.5000, 0.5000, 0.0000), P at (0.0000, 0.0000, 0.5000) and Os at (0.0000, 0.5000, 0.5000).

2.
Here is a geometry-optimized MgHg5 structure from Alexandria. Energies are from GGA-PBE.

The total magnetization is 0.00 μB per cell. For the formation energy, the calculation gives 0.092 eV per atom.

The structure belongs to space group F-43m (No. 216); the cell edges are 8.7224, 8.7224 and 8.7224 Å and the angles 90.00°, 90.00° and 90.00°. The inequivalent atoms are Mg at (0.0000, 0.0000, 0.0000), Hg at (0.1251, 0.1251, 0.6251) and Hg at (0.2500, 0.2500, 0.2500).

DOS at the Fermi energy
In order: 0.411; 0.406
Unit: states/eV/atom
Mass density
In order: 9.41; 10.28
Unit: g/cm³